No. 1
{
  "formula": "RbTcAg2N",
  "functional": "GGA-PBE",
  "state": "relaxed",
  "cell": [[-3.502, 0.070, -4.237], [2.827, -1.046, -2.354], [-1.202, -5.288, 0.906]],
  "species": ["Rb", "Tc", "Ag", "Ag", "N"],
  "fractional_positions": [[0.500, 0.500, 0.500], [0.000, 0.000, 0.000], [0.000, 0.000, 0.500], [0.500, 0.000, 0.000], [0.000, 0.500, 0.000]],
  "dos_at_fermi_per_ev_cell": 3.1,
  "sg": "P4/mmm (123)"
}

---

No. 2
{
  "formula": "RbTiAg2N",
  "functional": "GGA-PBE",
  "state": "relaxed",
  "cell": [[5.643, 0.000, 0.000], [0.000, 3.863, 0.000], [0.000, 0.000, 5.643]],
  "species": ["N", "Rb", "Ag", "Ag", "Ti"],
  "fractional_positions": [[0.000, 0.500, 0.000], [0.500, 0.500, 0.500], [0.000, 0.000, 0.500], [0.500, 0.000, 0.000], [0.000, 0.000, 0.000]],
  "dos_at_fermi_per_ev_cell": 0.5,
  "sg": "P4/mmm (123)"
}

---

No. 3
{
  "formula": "ReAg3N",
  "functional": "GGA-PBE",
  "state": "relaxed",
  "cell": [[4.280, 0.000, 0.000], [0.000, 4.280, 0.000], [0.000, 0.000, 4.280]],
  "species": ["Re", "Ag", "Ag", "Ag", "N"],
  "fractional_positions": [[0.500, 0.500, 0.500], [0.000, 0.500, 0.000], [0.000, 0.000, 0.500], [0.500, 0.000, 0.000], [0.000, 0.000, 0.000]],
  "dos_at_fermi_per_ev_cell": 4.9,
  "sg": "Pm-3m (221)",
  "polymorph_energy_kj_per_mol_fu": 0
}

---

No. 4
{
  "formula": "ReAg3N",
  "functional": "GGA-PBE",
  "state": "relaxed",
  "cell": [[-3.396, -3.491, 1.300], [1.219, -2.703, -4.077], [3.520, -2.432, 2.665]],
  "species": ["Re", "Ag", "Ag", "Ag", "N"],
  "fractional_positions": [[0.000, 0.000, 0.000], [0.000, 0.500, 0.000], [0.000, 0.000, 0.500], [0.500, 0.000, 0.000], [0.500, 0.500, 0.500]],
  "dos_at_fermi_per_ev_cell": 10.7,
  "sg": "Pm-3m (221)",
  "polymorph_energy_kj_per_mol_fu": 645
}

---

No. 5
{
  "formula": "ReAgN",
  "functional": "GGA-PBE",
  "state": "relaxed",
  "cell": [[5.933, 0.000, 0.000], [0.000, 5.028, -0.350], [0.000, -2.908, 6.171]],
  "species": ["N", "N", "N", "N", "Re", "Re", "Re", "Re", "Ag", "Ag", "Ag", "Ag"],
  "fractional_positions": [[0.163, 0.460, 0.155], [0.663, 0.040, 0.845], [0.837, 0.540, 0.845], [0.337, 0.960, 0.155], [0.342, 0.119, 0.932], [0.842, 0.381, 0.068], [0.658, 0.881, 0.068], [0.158, 0.619, 0.932], [0.129, 0.760, 0.535], [0.629, 0.740, 0.465], [0.871, 0.240, 0.465], [0.371, 0.260, 0.535]],
  "dos_at_fermi_per_ev_cell": 4.7,
  "sg": "P2_1/c (14)"
}

---

No. 6
{
  "formula": "Re3AgN",
  "functional": "GGA-PBE",
  "state": "relaxed",
  "cell": [[4.096, 0.000, 0.000], [0.000, 4.096, 0.000], [0.000, 0.000, 4.096]],
  "species": ["Re", "Re", "Re", "Ag", "N"],
  "fractional_positions": [[0.000, 0.500, 0.000], [0.000, 0.000, 0.500], [0.500, 0.000, 0.000], [0.500, 0.500, 0.500], [0.000, 0.000, 0.000]],
  "dos_at_fermi_per_ev_cell": 2.4,
  "sg": "Pm-3m (221)",
  "polymorph_energy_kj_per_mol_fu": 0
}

---

No. 7
{
  "formula": "Re3AgN",
  "functional": "GGA-PBE",
  "state": "relaxed",
  "cell": [[-4.439, 1.134, -1.515], [1.491, -0.284, -4.581], [-1.165, -4.682, -0.089]],
  "species": ["Re", "Re", "Re", "Ag", "N"],
  "fractional_positions": [[0.000, 0.500, 0.000], [0.000, 0.000, 0.500], [0.500, 0.000, 0.000], [0.000, 0.000, 0.000], [0.500, 0.500, 0.500]],
  "dos_at_fermi_per_ev_cell": 8.3,
  "sg": "Pm-3m (221)",
  "polymorph_energy_kj_per_mol_fu": 1829
}

---

No. 8
{
  "formula": "ReAgN3",
  "functional": "GGA-PBE",
  "state": "relaxed",
  "cell": [[-1.304, -1.998, 3.105], [3.109, -2.370, -0.219], [1.991, 2.392, 2.375]],
  "species": ["Re", "Ag", "N", "N", "N"],
  "fractional_positions": [[0.000, 0.000, 0.000], [0.500, 0.500, 0.500], [0.000, 0.500, 0.000], [0.000, 0.000, 0.500], [0.500, 0.000, 0.000]],
  "dos_at_fermi_per_ev_cell": 3.0,
  "sg": "Pm-3m (221)"
}

---

no.,formation energy from raw total energies (eV/atom)
1,0.54
2,0.29
3,1.54
4,2.88
5,0.42
6,0.54
7,4.33
8,0.85